# 1
# TcMoS | Alexandria | PBE-GGA | relaxed
data_TcMoS
_chemical_formula_sum 'Tc4 Mo4 S4'
_space_group_name_H-M_alt 'C 1 2/m 1'
_space_group_IT_number 12
_space_group_name_Hall '-C 2y'
_cell_length_a 10.997
_cell_length_b 2.960
_cell_length_c 6.858
_cell_angle_alpha 90.00
_cell_angle_beta 121.27
_cell_angle_gamma 90.00
loop_
_atom_site_label
_atom_site_type_symbol
_atom_site_fract_x
_atom_site_fract_y
_atom_site_fract_z
Tc1 Tc 0.120 0.000 0.352
Mo1 Mo 0.220 0.000 0.779
S1 S 0.071 0.500 0.852
# **E_form (uncorrected)**: -0.007 eV per atom
# **Crystal system**: monoclinic

---

# 2
# Eu2As7Pd12 | Alexandria | PBE-GGA | relaxed
data_Eu2As7Pd12
_chemical_formula_sum 'Eu2 As7 Pd12'
_space_group_name_H-M_alt 'P -3'
_space_group_IT_number 147
_space_group_name_Hall '-P 3'
_cell_length_a 10.1528
_cell_length_b 10.1528
_cell_length_c 4.1352
_cell_angle_alpha 90.00
_cell_angle_beta 90.00
_cell_angle_gamma 120.00
loop_
_atom_site_label
_atom_site_type_symbol
_atom_site_fract_x
_atom_site_fract_y
_atom_site_fract_z
Eu1 Eu 0.3333 0.6667 0.2462
As1 As 0.0000 0.0000 0.5000
As2 As 0.1180 0.7076 0.7464
Pd1 Pd 0.0546 0.4346 0.7477
Pd2 Pd 0.1086 0.2534 0.2303
# **DFT formation energy**: -601 meV per atom
# **Crystal system**: trigonal

---

# 3
# PaCo2Au | Alexandria | PBE-GGA | relaxed
data_PaCo2Au
_chemical_formula_sum 'Pa3 Co6 Au3'
_space_group_name_H-M_alt 'R -3 m'
_space_group_IT_number 166
_space_group_name_Hall '-R 3 2"'
_cell_length_a 4.5312
_cell_length_b 4.5312
_cell_length_c 11.7376
_cell_angle_alpha 90.00
_cell_angle_beta 90.00
_cell_angle_gamma 120.00
loop_
_atom_site_label
_atom_site_type_symbol
_atom_site_fract_x
_atom_site_fract_y
_atom_site_fract_z
Pa1 Pa 0.0000 0.0000 0.0000
Co1 Co 0.0000 0.0000 0.1931
Au1 Au 0.0000 0.0000 0.5000
# **DFT formation energy**: -292 meV per atom
# **Crystal system**: trigonal

---

# 4
# ReSbCl2O | Alexandria | PBE-GGA | relaxed
data_ReSbCl2O
_chemical_formula_sum 'Re1 Sb1 Cl2 O1'
_space_group_name_H-M_alt 'P 4/m m m'
_space_group_IT_number 123
_space_group_name_Hall '-P 4 2'
_cell_length_a 5.514
_cell_length_b 5.514
_cell_length_c 3.656
_cell_angle_alpha 90.00
_cell_angle_beta 90.00
_cell_angle_gamma 90.00
loop_
_atom_site_label
_atom_site_type_symbol
_atom_site_fract_x
_atom_site_fract_y
_atom_site_fract_z
Re1 Re 0.000 0.000 0.000
Sb1 Sb 0.500 0.500 0.000
Cl1 Cl 0.000 0.500 0.500
O1 O 0.000 0.000 0.500
# **E_form (uncorrected)**: 0.410 eV per atom
# **Crystal system**: tetragonal

---

Total energy per entry: -101.4, -128.0, -84.5, -23.2 eV/cell